Version A
Material: HfAsPS2
Method: DFT, PBE-GGA
State: optimized geometry

a b c (Å): 4.615 4.615 4.650
angles (deg): 90.00 90.00 90.00
Atoms (fractional coordinates):
1 P 0.000 0.000 0.500
2 As 0.000 0.000 0.000
3 Hf 0.500 0.500 0.500
4 S 0.000 0.500 0.000
5 S 0.500 0.000 0.000

Calculated values
The calculation puts the calculated density at 5.84 g cm⁻³. As for the magnetization: 0.00 μB per formula unit. The space-group type is P4/mmm (123).



Version B
Material: HfAsPS2
Method: DFT, PBE-GGA
State: optimized geometry

a b c (Å): 4.822 4.822 5.183
angles (deg): 90.00 90.00 90.00
Atoms (fractional coordinates):
1 P 0.000 0.000 0.500
2 As 0.500 0.500 0.500
3 Hf 0.000 0.000 0.000
4 S 0.000 0.500 0.000
5 S 0.500 0.000 0.000

Calculated values
The calculation puts the calculated density at 4.80 g cm⁻³. As for the magnetization: 0.00 μB per formula unit. The space-group type is P4/mmm (123).



Which one sits at the top of the stability order? version B does.



Version A
Material: Hf2PaAs
Method: DFT, PBE-GGA
State: optimized geometry

a b c (Å): 3.420 3.420 9.052
angles (deg): 79.11 79.11 60.00
Atoms (fractional coordinates):
1 Hf 0.068 0.068 0.796
2 Hf 0.266 0.266 0.203
3 Pa 0.500 0.500 0.501
4 As 0.667 0.667 0.999

Calculated values
The calculation puts the calculated density at 12.30 g cm⁻³. As for the magnetization: 0.00 μB per formula unit. The space-group type is R3m (160).



Version B
Material: Hf2PaAs
Method: DFT, PBE-GGA
State: optimized geometry

a b c (Å): 3.352 3.352 9.762
angles (deg): 80.11 80.11 60.00
Last column: magnetic moment on the atom in μB.
Atoms (fractional coordinates):
1 As 0.500 0.500 0.500  0.00
2 Pa 0.000 0.000 0.000  0.62
3 Hf 0.104 0.104 0.688  0.16
4 Hf 0.896 0.896 0.312  0.16

Calculated values
The calculation puts the calculated density at 11.82 g cm⁻³. As for the magnetization: 1.14 μB per formula unit. The space-group type is R-3m (166).



Which one sits at the top of the stability order? version A does.



Version A
Material: HfAsPbSe2
Method: DFT, PBE-GGA
State: optimized geometry

a b c (Å): 5.254 5.254 5.275
angles (deg): 90.00 90.00 90.00
Atoms (fractional coordinates):
1 Pb 0.000 0.000 0.000
2 As 0.000 0.000 0.500
3 Hf 0.500 0.500 0.500
4 Se 0.000 0.500 0.000
5 Se 0.500 0.000 0.000

Calculated values
The calculation puts the calculated density at 7.05 g cm⁻³. As for the magnetization: 0.00 μB per formula unit. The space-group type is P4/mmm (123).



Version B
Material: HfAsPbSe2
Method: DFT, PBE-GGA
State: optimized geometry

a b c (Å): 5.447 5.447 5.621
angles (deg): 90.00 90.00 90.00
Atoms (fractional coordinates):
1 Pb 0.500 0.500 0.500
2 As 0.000 0.000 0.500
3 Hf 0.000 0.000 0.000
4 Se 0.000 0.500 0.000
5 Se 0.500 0.000 0.000

Calculated values
The calculation puts the calculated density at 6.16 g cm⁻³. As for the magnetization: 0.00 μB per formula unit. The space-group type is P4/mmm (123).



Which one sits at the top of the stability order? version B does.



Version A
Material: HfAs2PdSe
Method: DFT, PBE-GGA
State: optimized geometry

a b c (Å): 5.134 5.134 5.056
angles (deg): 90.00 90.00 90.00
Atoms (fractional coordinates):
1 As 0.000 0.500 0.000
2 As 0.500 0.000 0.000
3 Hf 0.000 0.000 0.000
4 Se 0.000 0.000 0.500
5 Pd 0.500 0.500 0.500

Calculated values
The calculation puts the calculated density at 6.40 g cm⁻³. As for the magnetization: 0.00 μB per formula unit. The space-group type is P4/mmm (123).



Version B
Material: HfAs2PdSe
Method: DFT, PBE-GGA
State: optimized geometry

a b c (Å): 4.790 4.790 4.894
angles (deg): 90.00 90.00 90.00
Atoms (fractional coordinates):
1 As 0.000 0.500 0.000
2 As 0.500 0.000 0.000
3 Hf 0.500 0.500 0.500
4 Se 0.000 0.000 0.500
5 Pd 0.000 0.000 0.000

Calculated values
The calculation puts the calculated density at 7.60 g cm⁻³. As for the magnetization: 0.00 μB per formula unit. The space-group type is P4/mmm (123).



Which one sits at the top of the stability order? version A does.



Version A
Material: PmHfAs2
Method: DFT, PBE-GGA
State: optimized geometry

a b c (Å): 4.938 4.938 4.938
angles (deg): 60.00 60.00 60.00
Atoms (fractional coordinates):
1 As 0.250 0.250 0.250
2 As 0.750 0.750 0.750
3 Hf 0.000 0.000 0.000
4 Pm 0.500 0.500 0.500

Calculated values
The calculation puts the calculated density at 9.23 g cm⁻³. As for the magnetization: 0.00 μB per formula unit. The space-group type is Fm-3m (225).



Version B
Material: PmHfAs2
Method: DFT, PBE-GGA
State: optimized geometry

a b c (Å): 3.940 3.940 7.297
angles (deg): 74.34 74.34 60.00
Atoms (fractional coordinates):
1 Pm 0.497 0.497 0.510
2 Hf 0.670 0.670 0.990
3 As 0.074 0.074 0.779
4 As 0.260 0.260 0.221

Calculated values
The calculation puts the calculated density at 8.43 g cm⁻³. As for the magnetization: 0.00 μB per formula unit. The space-group type is R3m (160).



Version C
Material: PmHfAs2
Method: DFT, PBE-GGA
State: optimized geometry

a b c (Å): 4.000 4.000 7.024
angles (deg): 73.46 73.46 60.00
Atoms (fractional coordinates):
1 As 0.258 0.258 0.225
2 As 0.742 0.742 0.775
3 Hf 0.000 0.000 0.000
4 Pm 0.500 0.500 0.500

Calculated values
The calculation puts the calculated density at 8.55 g cm⁻³. As for the magnetization: 0.00 μB per formula unit. The space-group type is R-3m (166).



Which one sits at the top of the stability order? version C does.



Version A
Material: PmHfAs2
Method: DFT, PBE-GGA
State: optimized geometry

a b c (Å): 3.247 5.123 5.123
angles (deg): 90.00 90.00 90.00
Atoms (fractional coordinates):
1 As 0.000 0.000 0.500
2 As 0.000 0.500 0.000
3 Hf 0.500 0.000 0.000
4 Pm 0.500 0.500 0.500

Calculated values
The calculation puts the calculated density at 9.22 g cm⁻³. As for the magnetization: 0.00 μB per formula unit. The space-group type is P4/mmm (123).



Version B
Material: PmHfAs2
Method: DFT, PBE-GGA
State: optimized geometry

a b c (Å): 3.962 3.962 13.540
angles (deg): 90.00 90.00 120.00
Atoms (fractional coordinates):
1 Pm 0.667 0.333 0.250
2 Pm 0.333 0.667 0.750
3 Hf 0.000 0.000 0.500
4 Hf 0.000 0.000 0.000
5 As 0.333 0.667 0.389
6 As 0.667 0.333 0.889
7 As 0.667 0.333 0.611
8 As 0.333 0.667 0.111

Calculated values
The calculation puts the calculated density at 8.54 g cm⁻³. As for the magnetization: 0.00 μB per formula unit. The space-group type is P6_3/mmc (194).



Which one sits at the top of the stability order? version B does.



Version A
Material: HfAs3Pt
Method: DFT, PBE-GGA
State: optimized geometry

a b c (Å): 5.052 5.052 5.052
angles (deg): 90.00 90.00 90.00
Atoms (fractional coordinates):
1 As 0.000 0.500 0.000
2 As 0.000 0.000 0.500
3 As 0.500 0.000 0.000
4 Hf 0.000 0.000 0.000
5 Pt 0.500 0.500 0.500

Calculated values
The calculation puts the calculated density at 7.71 g cm⁻³. As for the magnetization: 0.00 μB per formula unit. The space-group type is Pm-3m (221).



Version B
Material: HfAs3Pt
Method: DFT, PBE-GGA
State: optimized geometry

a b c (Å): 4.854 4.854 4.854
angles (deg): 90.00 90.00 90.00
Atoms (fractional coordinates):
1 As 0.000 0.500 0.000
2 As 0.000 0.000 0.500
3 As 0.500 0.000 0.000
4 Hf 0.500 0.500 0.500
5 Pt 0.000 0.000 0.000

Calculated values
The calculation puts the calculated density at 8.69 g cm⁻³. As for the magnetization: 0.00 μB per formula unit. The space-group type is Pm-3m (221).



Which one sits at the top of the stability order? version B does.